[1]
# Sc2CoBiRu, relaxed, DFT PBE
# Magnetic moment: 0.047 μB/atom
# Total DFT energy (no corrections): -6.29 eV per atom
# Crystal system: tetragonal
data_Sc2CoBiRu
_chemical_formula_sum 'Sc2 Co1 Bi1 Ru1'
_cell_length_a 4.6819
_cell_length_b 4.6819
_cell_length_c 4.7362
_cell_angle_alpha 90.00
_cell_angle_beta 90.00
_cell_angle_gamma 90.00
_space_group_name_H-M_alt 'P 4/m m m'
_space_group_IT_number 123
_space_group_name_Hall '-P 4 2'
loop_
_atom_site_label
_atom_site_type_symbol
_atom_site_fract_x
_atom_site_fract_y
_atom_site_fract_z
_atom_site_occupancy
Sc1 Sc 0.0000 0.5000 0.0000 1
Co1 Co 0.0000 0.0000 0.0000 1
Bi1 Bi 0.0000 0.0000 0.5000 1
Ru1 Ru 0.5000 0.5000 0.5000 1

***

[2]
# CaDyY, relaxed, DFT PBE
# Magnetic moment: 0.000 μB/atom
# Total DFT energy (no corrections): -4.29 eV per atom
# Crystal system: orthorhombic
data_CaDyY
_chemical_formula_sum 'Ca4 Dy4 Y4'
_cell_length_a 3.6490
_cell_length_b 19.7068
_cell_length_c 5.7999
_cell_angle_alpha 90.00
_cell_angle_beta 90.00
_cell_angle_gamma 90.00
_space_group_name_H-M_alt 'C m c m'
_space_group_IT_number 63
_space_group_name_Hall '-C 2c 2'
loop_
_atom_site_label
_atom_site_type_symbol
_atom_site_fract_x
_atom_site_fract_y
_atom_site_fract_z
_atom_site_occupancy
Ca1 Ca 0.0000 0.2164 0.2500 1
Dy1 Dy 0.0000 0.1040 0.7500 1
Y1 Y 0.0000 0.4502 0.7500 1

***

[3]
# Na4CdH5, relaxed, DFT PBE
# Magnetic moment: 0.000 μB/atom
# Total DFT energy (no corrections): -2.34 eV per atom
# Crystal system: tetragonal
data_Na4CdH5
_chemical_formula_sum 'Na8 Cd2 H10'
_cell_length_a 7.7693
_cell_length_b 7.7693
_cell_length_c 4.5806
_cell_angle_alpha 90.00
_cell_angle_beta 90.00
_cell_angle_gamma 90.00
_space_group_name_H-M_alt 'I 4'
_space_group_IT_number 79
loop_
_space_group_symop_operation_xyz
'x,y,z'
'-y,x,z'
'-x,-y,z'
'y,-x,z'
'x+1/2,y+1/2,z+1/2'
'-y+1/2,x+1/2,z+1/2'
'-x+1/2,-y+1/2,z+1/2'
'y+1/2,-x+1/2,z+1/2'
loop_
_atom_site_label
_atom_site_type_symbol
_atom_site_fract_x
_atom_site_fract_y
_atom_site_fract_z
_atom_site_occupancy
Na1 Na 0.1057 0.6964 0.0000 1
Cd1 Cd 0.0000 0.0000 0.5010 1
H1 H 0.0000 0.0000 0.9764 1
H2 H 0.1088 0.6884 0.4998 1

***

[4]
# PmPaSnPt, relaxed, DFT PBE
# Magnetic moment: 0.466 μB/atom
# Total DFT energy (no corrections): -6.51 eV per atom
# Crystal system: cubic
data_PmPaSnPt
_chemical_formula_sum 'Pm4 Pa4 Sn4 Pt4'
_cell_length_a 7.3811
_cell_length_b 7.3811
_cell_length_c 7.3811
_cell_angle_alpha 90.00
_cell_angle_beta 90.00
_cell_angle_gamma 90.00
_space_group_name_H-M_alt 'F -4 3 m'
_space_group_IT_number 216
_space_group_name_Hall 'F -4 2 3'
loop_
_atom_site_label
_atom_site_type_symbol
_atom_site_fract_x
_atom_site_fract_y
_atom_site_fract_z
_atom_site_occupancy
Pm1 Pm 0.0000 0.0000 0.0000 1
Pa1 Pa 0.0000 0.0000 0.5000 1
Sn1 Sn 0.2500 0.2500 0.2500 1
Pt1 Pt 0.2500 0.2500 0.7500 1

***

[5]
# Ca4TbY3S8, relaxed, DFT PBE
# Magnetic moment: 0.000 μB/atom
# Crystal system: trigonal
# Formation energy (no corrections): -2.061 eV/atom
data_Ca4TbY3S8
_chemical_formula_sum 'Ca12 Tb3 Y9 S24'
_cell_length_a 7.8858
_cell_length_b 7.8858
_cell_length_c 19.6793
_cell_angle_alpha 90.00
_cell_angle_beta 90.00
_cell_angle_gamma 120.00
_space_group_name_H-M_alt 'R -3 m'
_space_group_IT_number 166
_space_group_name_Hall '-R 3 2"'
loop_
_atom_site_label
_atom_site_type_symbol
_atom_site_fract_x
_atom_site_fract_y
_atom_site_fract_z
_atom_site_occupancy
Ca1 Ca 0.0000 0.0000 0.0000 1
Ca2 Ca 0.0000 0.5000 0.0000 1
Tb1 Tb 0.0000 0.0000 0.5000 1
Y1 Y 0.0000 0.5000 0.5000 1
S1 S 0.0000 0.0000 0.2485 1
S2 S 0.9995 0.4998 0.2486 1

***

[6]
# Eu2PN, relaxed, DFT PBE
# Magnetic moment: 3.000 μB/atom
# Crystal system: trigonal
# Formation energy (no corrections): -0.334 eV/atom
data_Eu2PN
_chemical_formula_sum 'Eu6 P3 N3'
_cell_length_a 4.3902
_cell_length_b 4.3902
_cell_length_c 21.9249
_cell_angle_alpha 90.00
_cell_angle_beta 90.00
_cell_angle_gamma 120.00
_space_group_name_H-M_alt 'R -3 m'
_space_group_IT_number 166
_space_group_name_Hall '-R 3 2"'
loop_
_atom_site_label
_atom_site_type_symbol
_atom_site_fract_x
_atom_site_fract_y
_atom_site_fract_z
_atom_site_occupancy
Eu1 Eu 0.0000 0.0000 0.0961 1
P1 P 0.0000 0.0000 0.5000 1
N1 N 0.0000 0.0000 0.0000 1